LaYP2 (PBE-GGA, relaxed); relative energy among the computed polymorphs = 0.4508 eV per atom; N(E_F) = 0.8 states/eV/f.u.; crystal system = orthorhombic
1.0
-0.545 -4.299 -1.340
4.500 0.445 -3.260
2.133 -1.140 2.789
La Y P
1 1 2
Direct
0.000 0.500 0.500
0.500 0.000 0.500
0.000 0.000 0.000
0.500 0.500 0.000

La2YP (PBE-GGA, relaxed); relative energy among the computed polymorphs = 0.3168 eV per atom; N(E_F) = 6.4 states/eV/f.u.; crystal system = tetragonal
1.0
-2.289 2.289 5.166
2.289 -2.289 5.166
2.289 2.289 -5.166
La P Y
2 1 1
Direct
0.750 0.250 0.500
0.250 0.750 0.500
0.500 0.500 0.000
0.000 0.000 0.000

La2YP3 (PBE-GGA, relaxed); N(E_F) = 0.8 states/eV/f.u.; total DFT energy (no corrections) = -6.9882 eV/atom; crystal system = tetragonal
1.0
-3.260 -2.457 -0.998
2.640 -3.148 -0.882
-0.180 0.032 9.363
P La Y
3 2 1
Direct
0.272 0.273 0.549
0.934 0.936 0.874
0.597 0.598 0.199
0.769 0.771 0.544
0.099 0.101 0.204
0.434 0.436 0.874

LaY4P (PBE-GGA, relaxed); N(E_F) = 8.3 states/eV/f.u.; total DFT energy (no corrections) = -5.6181 eV/atom; crystal system = cubic
1.0
-5.221 -3.624 -1.297
-5.367 2.773 -2.364
-1.762 -1.066 -6.151
Y P La
4 1 1
Direct
0.376 0.376 0.376
0.376 0.376 0.873
0.873 0.376 0.376
0.376 0.873 0.376
0.000 0.000 0.000
0.750 0.750 0.750

LaY2P (PBE-GGA, relaxed); relative energy among the computed polymorphs = 0.2834 eV per atom; N(E_F) = 6.2 states/eV/f.u.; crystal system = tetragonal
1.0
9.042 0.000 0.000
0.000 9.042 0.000
4.521 4.521 3.029
Y P La
4 2 2
Direct
0.375 0.470 0.750
0.530 0.125 0.250
0.220 0.625 0.250
0.875 0.780 0.750
0.250 0.750 0.500
0.500 0.500 0.000
0.750 0.250 0.500
0.000 0.000 0.000

La2YP (PBE-GGA, relaxed); relative energy among the computed polymorphs = 0.5168 eV per atom; N(E_F) = 5.1 states/eV/f.u.; crystal system = cubic
1.0
0.000 3.826 3.826
3.826 0.000 3.826
3.826 3.826 0.000
La P Y
2 1 1
Direct
0.250 0.250 0.250
0.750 0.750 0.750
0.000 0.000 0.000
0.500 0.500 0.500

LaYP2 (PBE-GGA, relaxed); relative energy among the computed polymorphs = 0.0000 eV per atom; N(E_F) = 0.4 states/eV/f.u.; crystal system = trigonal
1.0
-3.089 1.898 2.016
-2.486 -2.176 2.508
2.292 1.148 6.700
Y P La
1 2 1
Direct
0.250 0.250 0.250
0.504 0.504 0.487
0.996 0.996 0.013
0.750 0.750 0.750

La2YP (PBE-GGA, relaxed); relative energy among the computed polymorphs = 0.0310 eV per atom; N(E_F) = 3.2 states/eV/f.u.; crystal system = tetragonal
1.0
-2.177 2.575 -1.594
-3.021 -1.705 1.371
0.482 4.625 6.815
Y P La
1 1 2
Direct
0.500 0.500 0.682
0.000 0.000 0.533
0.000 0.000 0.977
0.500 0.500 0.308

Question: The lowest N(E_F) belongs to which entry?
Answer: number 7